# 1
VASP calculation (PBE) on crystalline Ca2Ag2RhO6 at its relaxed geometry.

Unit cell a=5.848 b=5.848 c=6.288 alpha=93.55 beta=93.55 gamma=120.54
Positions (direct):
Ca: 0.166 0.834 0.000
Ca: 0.834 0.166 0.000
Ag: 0.356 0.644 0.500
Ag: 0.644 0.356 0.500
Rh: 0.500 0.500 0.000
O: 0.200 0.200 0.836
O: 0.234 0.528 0.177
O: 0.472 0.766 0.823
O: 0.528 0.234 0.177
O: 0.766 0.472 0.823
O: 0.800 0.800 0.164

Values from the calculation:
Fermi-level density of states = 0.541 states/eV per atom
formation energy (no corrections) = -1.262 eV/atom
size of the total moment = 2.78 μB/cell
electronic total energy = -60.7 eV/f.u.

---

# 2
VASP calculation (PBE) on crystalline PrTmCd5 at its relaxed geometry.

Unit cell a=4.628 b=4.628 c=8.863 alpha=90.00 beta=90.00 gamma=90.07
Positions (direct):
Pr: 0.000 0.000 0.000
Tm: 0.500 0.500 0.500
Cd: 0.000 0.000 0.500
Cd: 0.000 0.500 0.257
Cd: 0.000 0.500 0.743
Cd: 0.500 0.000 0.257
Cd: 0.500 0.000 0.743

Values from the calculation:
Fermi-level density of states = 0.420 states/eV per atom
size of the total moment = 0.00 μB/cell
electronic total energy = -14.5 eV/f.u.
energy of formation = -0.10 eV per atom

---

# 3
VASP calculation (PBE) on crystalline Ac2Sn2Rh at its relaxed geometry.

Unit cell a=6.415 b=6.415 c=11.735 alpha=114.08 beta=114.08 gamma=43.11
Positions (direct):
Ac: 0.001 0.001 0.166
Ac: 0.193 0.193 0.625
Ac: 0.807 0.807 0.375
Ac: 0.999 0.999 0.834
Sn: 0.329 0.329 0.949
Sn: 0.484 0.484 0.620
Sn: 0.516 0.516 0.380
Sn: 0.671 0.671 0.051
Rh: 0.279 0.279 0.170
Rh: 0.721 0.721 0.830

Values from the calculation:
Fermi-level density of states = 0.729 states/eV per atom
size of the total moment = 0.00 μB/cell
electronic total energy = -27.3 eV/f.u.
energy of formation = -0.74 eV per atom

---

# 4
VASP calculation (PBE) on crystalline MnSnRu at its relaxed geometry.

Unit cell a=4.941 b=4.941 c=4.941 alpha=139.80 beta=139.80 gamma=58.16
Positions (direct):
Mn: 0.000 0.000 0.000
Sn: 0.675 0.675 0.000
Ru: 0.343 0.343 0.000

Values from the calculation:
Fermi-level density of states = 0.748 states/eV per atom
size of the total moment = 4.84 μB/cell
electronic total energy = -22.2 eV/f.u.
energy of formation = 0.08 eV per atom

---

# 5
VASP calculation (PBE) on crystalline BeInCl2 at its relaxed geometry.

Unit cell a=6.955 b=6.955 c=6.955 alpha=146.50 beta=146.50 gamma=48.11
Positions (direct):
Be: 0.000 0.000 0.000
In: 0.750 0.250 0.500
Cl: 0.250 0.750 0.500
Cl: 0.500 0.500 0.000

Values from the calculation:
offset from the most stable computed form = 850 meV/atom
Fermi-level density of states = 0.422 states/eV per atom
formation energy (no corrections) = 0.103 eV/atom
size of the total moment = 0.00 μB/cell
electronic total energy = -9.7 eV/f.u.

---

# 6
VASP calculation (PBE) on crystalline Ac4SbIrCl2 at its relaxed geometry.

Unit cell a=7.823 b=4.442 c=8.344 alpha=90.00 beta=108.46 gamma=90.00
Positions (direct):
Ac: 0.213 0.000 0.211
Ac: 0.232 0.500 0.772
Ac: 0.768 0.500 0.228
Ac: 0.787 0.000 0.789
Sb: 0.000 0.000 0.500
Ir: 0.000 0.500 0.000
Cl: 0.500 0.000 0.000
Cl: 0.500 0.500 0.500

Values from the calculation:
Fermi-level density of states = 0.672 states/eV per atom
formation energy (no corrections) = -1.261 eV/atom
size of the total moment = 0.00 μB/cell
electronic total energy = -43.2 eV/f.u.